Rb3Er3WO8: optimized geometry, PBE+U.

Cell and atoms, written as CIF:
```
data_Rb3Er3WO8
_chemical_formula_sum 'Rb6 Er6 W2 O16'
_space_group_name_H-M_alt 'C 1 2/m 1'
_space_group_IT_number 12
_cell_length_a 11.8401
_cell_length_b 6.7717
_cell_length_c 7.6837
_cell_angle_alpha 90.00
_cell_angle_beta 120.83
_cell_angle_gamma 90.00
loop_
_space_group_symop_operation_xyz
'x,y,z'
'-x,-y,-z'
'-x,y,-z'
'x,-y,z'
'x+1/2,y+1/2,z'
'-x+1/2,-y+1/2,-z'
'-x+1/2,y+1/2,-z'
'x+1/2,-y+1/2,z'
loop_
_atom_site_label
_atom_site_type_symbol
_atom_site_fract_x
_atom_site_fract_y
_atom_site_fract_z
Rb1 Rb 0.0000 0.0000 0.0000
Rb2 Rb 0.2500 0.2500 0.0000
Er1 Er 0.0000 0.5000 0.5000
Er2 Er 0.2500 0.2500 0.5000
W1 W 0.0000 0.0000 0.5000
O1 O 0.0237 0.2319 0.3374
O2 O 0.2153 0.0000 0.6649
O3 O 0.2220 0.5000 0.6696
```

**E**: -6.8441 eV/atom
**Magnetic moment**: 2.000 μB per formula unit
**Density of states at the Fermi level**: 0.000 states/eV/f.u.